Compound: La2ZrSc
Source: Alexandria
Functional: PBE
Structure: optimized geometry

Cell lengths 5.919, 5.919, 3.493 Å; angles 90.00, 90.00, 107.17 degrees
Fractional positions:
La: 0.000 0.500 0.000
La: 0.500 0.000 0.000
Zr: 0.000 0.000 0.500
Sc: 0.500 0.500 0.500

- raw total energy (eV/atom) = -6.05
- SG = Cmmm, No. 65
- formation enthalpy at 0 K (meV per atom) = 138
- relative energy among the computed polymorphs (meV/atom) = 44.2



Compound: La2ZrSc
Source: Alexandria
Functional: PBE
Structure: optimized geometry

Cell lengths 11.094, 11.094, 11.094 Å; angles 18.13, 18.13, 18.13 degrees
Fractional positions:
La: 0.249 0.249 0.249
La: 0.751 0.751 0.751
Zr: 0.500 0.500 0.500
Sc: 0.000 0.000 0.000

- raw total energy (eV/atom) = -6.02
- SG = R-3m, No. 166
- formation enthalpy at 0 K (meV per atom) = 159
- relative energy among the computed polymorphs (meV/atom) = 65.9



Compound: La4ZrSc
Source: Alexandria
Functional: PBE
Structure: optimized geometry

Cell lengths 6.492, 6.492, 6.492 Å; angles 60.00, 60.00, 60.00 degrees
Fractional positions:
La: 0.125 0.125 0.125
La: 0.125 0.125 0.624
La: 0.125 0.624 0.125
La: 0.624 0.125 0.125
Zr: 0.500 0.500 0.500
Sc: 0.750 0.750 0.750

- raw total energy (eV/atom) = -5.29
- SG = F-43m, No. 216
- formation enthalpy at 0 K (meV per atom) = 476



Compound: LaZrSc
Source: Alexandria
Functional: PBE
Structure: optimized geometry

Cell lengths 3.376, 3.376, 8.227 Å; angles 90.00, 90.00, 120.00 degrees
Fractional positions:
La: 0.000 0.000 0.000
Zr: 0.333 0.667 0.662
Sc: 0.667 0.333 0.362

- raw total energy (eV/atom) = -6.49
- SG = P3m1, No. 156
- formation enthalpy at 0 K (meV per atom) = 114
- relative energy among the computed polymorphs (meV/atom) = 19.6



Compound: LaZrSc
Source: Alexandria
Functional: PBE
Structure: optimized geometry

Cell lengths 5.356, 5.356, 3.320 Å; angles 90.00, 90.00, 120.00 degrees
Fractional positions:
La: 0.000 0.000 0.000
Zr: 0.667 0.333 0.500
Sc: 0.333 0.667 0.500

- raw total energy (eV/atom) = -6.45
- SG = P-6m2, No. 187
- formation enthalpy at 0 K (meV per atom) = 151
- relative energy among the computed polymorphs (meV/atom) = 56.0



Compound: La2ZrSc
Source: Alexandria
Functional: PBE
Structure: optimized geometry

Cell lengths 5.512, 5.512, 5.512 Å; angles 60.00, 60.00, 60.00 degrees
Fractional positions:
La: 0.000 0.000 0.000
La: 0.250 0.250 0.250
Zr: 0.500 0.500 0.500
Sc: 0.750 0.750 0.750

- raw total energy (eV/atom) = -5.92
- SG = F-43m, No. 216
- formation enthalpy at 0 K (meV per atom) = 259
- relative energy among the computed polymorphs (meV/atom) = 166.2



Compound: LaZrSc
Source: Alexandria
Functional: PBE
Structure: optimized geometry

Cell lengths 7.910, 7.910, 7.910 Å; angles 155.89, 155.89, 34.36 degrees
Fractional positions:
La: 0.000 0.000 0.000
Zr: 0.673 0.673 0.000
Sc: 0.313 0.313 0.000

- raw total energy (eV/atom) = -6.51
- SG = I4mm, No. 107
- formation enthalpy at 0 K (meV per atom) = 95
- relative energy among the computed polymorphs (meV/atom) = 0.0



Compound: LaZrSc
Source: Alexandria
Functional: PBE
Structure: optimized geometry

Cell lengths 6.009, 6.009, 6.009 Å; angles 142.03, 142.03, 54.78 degrees
Fractional positions:
La: 0.000 0.000 0.000
Zr: 0.680 0.680 0.000
Sc: 0.318 0.318 0.000

- raw total energy (eV/atom) = -6.43
- SG = I4mm, No. 107
- formation enthalpy at 0 K (meV per atom) = 170
- relative energy among the computed polymorphs (meV/atom) = 75.0



Compound: LaZrSc
Source: Alexandria
Functional: PBE
Structure: optimized geometry

Cell lengths 5.048, 5.048, 5.048 Å; angles 60.00, 60.00, 60.00 degrees
Fractional positions:
La: 0.000 0.000 0.000
Zr: 0.750 0.750 0.750
Sc: 0.250 0.250 0.250

- raw total energy (eV/atom) = -5.61
- SG = F-43m, No. 216
- formation enthalpy at 0 K (meV per atom) = 991
- relative energy among the computed polymorphs (meV/atom) = 896.0



Compound: La2ZrSc
Source: Alexandria
Functional: PBE
Structure: optimized geometry

Cell lengths 3.409, 3.409, 10.130 Å; angles 90.00, 90.00, 90.00 degrees
Fractional positions:
La: 0.000 0.000 0.000
La: 0.500 0.500 0.287
Zr: 0.500 0.500 0.753
Sc: 0.000 0.000 0.551

- raw total energy (eV/atom) = -6.09
- SG = P4mm, No. 99
- formation enthalpy at 0 K (meV per atom) = 93
- relative energy among the computed polymorphs (meV/atom) = 0.0



Compound: La2ZrSc
Source: Alexandria
Functional: PBE
Structure: optimized geometry

Cell lengths 3.883, 3.883, 7.773 Å; angles 90.00, 90.00, 90.00 degrees
Fractional positions:
La: 0.000 0.000 0.247
La: 0.000 0.000 0.753
Zr: 0.500 0.500 0.000
Sc: 0.500 0.500 0.500

- raw total energy (eV/atom) = -6.02
- SG = P4/mmm, No. 123
- formation enthalpy at 0 K (meV per atom) = 167
- relative energy among the computed polymorphs (meV/atom) = 73.8



Compound: La2ZrSc
Source: Alexandria
Functional: PBE
Structure: optimized geometry

Cell lengths 5.830, 5.830, 6.077 Å; angles 99.45, 99.45, 34.45 degrees
Fractional positions:
La: 0.250 0.250 0.248
La: 0.750 0.750 0.752
Zr: 0.000 0.000 0.500
Sc: 0.500 0.500 0.000

- raw total energy (eV/atom) = -6.03
- SG = C2/m, No. 12
- formation enthalpy at 0 K (meV per atom) = 155
- relative energy among the computed polymorphs (meV/atom) = 61.6



Compound: La2ZrSc
Source: Alexandria
Functional: PBE
Structure: optimized geometry

Cell lengths 5.309, 6.815, 6.815 Å; angles 29.23, 90.00, 90.00 degrees
Fractional positions:
La: 0.000 0.000 0.000
La: 0.500 0.337 0.337
Zr: 0.000 0.728 0.728
Sc: 0.500 0.612 0.612

- raw total energy (eV/atom) = -6.08
- SG = Amm2, No. 38
- formation enthalpy at 0 K (meV per atom) = 108
- relative energy among the computed polymorphs (meV/atom) = 14.6



Compound: LaZrSc4
Source: Alexandria
Functional: PBE
Structure: optimized geometry

Cell lengths 6.139, 6.139, 6.139 Å; angles 60.00, 60.00, 60.00 degrees
Fractional positions:
La: 0.000 0.000 0.000
Zr: 0.250 0.250 0.250
Sc: 0.133 0.622 0.622
Sc: 0.622 0.133 0.622
Sc: 0.622 0.622 0.133
Sc: 0.622 0.622 0.622

- raw total energy (eV/atom) = -6.14
- SG = F-43m, No. 216
- formation enthalpy at 0 K (meV per atom) = 327



Compound: La2ZrSc
Source: Alexandria
Functional: PBE
Structure: optimized geometry

Cell lengths 3.449, 4.797, 7.048 Å; angles 90.00, 90.00, 90.00 degrees
Fractional positions:
La: 0.000 0.000 0.000
La: 0.500 0.500 0.286
Zr: 0.500 0.500 0.738
Sc: 0.000 0.000 0.544

- raw total energy (eV/atom) = -6.06
- SG = Pmm2, No. 25
- formation enthalpy at 0 K (meV per atom) = 119
- relative energy among the computed polymorphs (meV/atom) = 25.8



Compound: La2ZrSc
Source: Alexandria
Functional: PBE
Structure: optimized geometry

Cell lengths 5.482, 5.482, 5.482 Å; angles 60.00, 60.00, 60.00 degrees
Fractional positions:
La: 0.250 0.250 0.250
La: 0.750 0.750 0.750
Zr: 0.000 0.000 0.000
Sc: 0.500 0.500 0.500

- raw total energy (eV/atom) = -6.02
- SG = Fm-3m, No. 225
- formation enthalpy at 0 K (meV per atom) = 164
- relative energy among the computed polymorphs (meV/atom) = 71.0



Compound: La2ZrSc
Source: Alexandria
Functional: PBE
Structure: optimized geometry

Cell lengths 6.869, 6.869, 6.869 Å; angles 103.02, 103.02, 123.33 degrees
Fractional positions:
La: 0.122 0.625 0.997
La: 0.375 0.372 0.497
La: 0.628 0.125 0.003
La: 0.875 0.878 0.503
Zr: 0.000 0.000 0.000
Zr: 0.750 0.250 0.500
Sc: 0.250 0.750 0.500
Sc: 0.500 0.500 0.000

- raw total energy (eV/atom) = -5.65
- SG = I-42d, No. 122
- formation enthalpy at 0 K (meV per atom) = 531
- relative energy among the computed polymorphs (meV/atom) = 437.2



Compound: La2ZrSc
Source: Alexandria
Functional: PBE
Structure: optimized geometry

Cell lengths 11.454, 11.454, 11.454 Å; angles 17.31, 17.31, 17.31 degrees
Fractional positions:
La: 0.000 0.000 0.000
La: 0.245 0.245 0.245
Zr: 0.750 0.750 0.750
Sc: 0.489 0.489 0.489

- raw total energy (eV/atom) = -6.05
- SG = R3m, No. 160
- formation enthalpy at 0 K (meV per atom) = 132
- relative energy among the computed polymorphs (meV/atom) = 38.2



Compound: LaZr4Sc
Source: Alexandria
Functional: PBE
Structure: optimized geometry

Cell lengths 6.050, 6.050, 6.050 Å; angles 60.00, 60.00, 60.00 degrees
Fractional positions:
La: 0.000 0.000 0.000
Zr: 0.376 0.376 0.376
Zr: 0.376 0.376 0.873
Zr: 0.376 0.873 0.376
Zr: 0.873 0.376 0.376
Sc: 0.750 0.750 0.750

- raw total energy (eV/atom) = -7.30
- SG = F-43m, No. 216
- formation enthalpy at 0 K (meV per atom) = 276



Compound: LaZrSc
Source: Alexandria
Functional: PBE
Structure: optimized geometry

Cell lengths 13.211, 13.211, 13.211 Å; angles 163.98, 163.98, 22.73 degrees
Fractional positions:
La: 0.062 0.062 0.000
La: 0.938 0.938 0.000
Zr: 0.223 0.223 0.000
Zr: 0.777 0.777 0.000
Sc: 0.345 0.345 0.000
Sc: 0.655 0.655 0.000

- raw total energy (eV/atom) = -6.44
- SG = I4/mmm, No. 139
- formation enthalpy at 0 K (meV per atom) = 161
- relative energy among the computed polymorphs (meV/atom) = 65.7